1.
A plane-wave DFT calculation with PBE was carried out for Tm2NbCo after structural relaxation.

## Properties
Space-group type: R-3m
Raw total energy, eV/atom: -6.02
DOS(E_F), states/eV/f.u.: 4.56

```
Tm2NbCo
1.0
3.1849 0.0000 0.0000
1.5925 2.7582 0.0000
1.5925 0.9194 9.8134
Tm Co Nb
2 1 1
Direct
0.8991 0.8991 0.3027
0.1009 0.1009 0.6973
0.5000 0.5000 0.5000
0.0000 0.0000 0.0000
```

2.
A plane-wave DFT calculation with PBE was carried out for TmNbCo2 after structural relaxation.

## Properties
Space-group type: R-3m
Raw total energy, eV/atom: -7.28
Distance to the lowest polymorph of the same formula, meV/atom: 54.5
DOS(E_F), states/eV/f.u.: 4.50

```
TmNbCo2
1.0
-1.9903 -3.5649 0.9608
2.1805 -3.3252 1.3346
-0.3954 -0.9019 4.9897
Nb Co Tm
1 2 1
Direct
0.5000 0.5000 0.5000
0.2144 0.2144 0.3568
0.7856 0.7856 0.6432
0.0000 0.0000 0.0000
```

3.
A plane-wave DFT calculation with PBE was carried out for TmNbCo2 after structural relaxation.

## Properties
Space-group type: P4/mmm
Raw total energy, eV/atom: -7.24
Distance to the lowest polymorph of the same formula, meV/atom: 86.8
DOS(E_F), states/eV/f.u.: 3.73

```
TmNbCo2
1.0
3.0825 0.0000 0.0000
0.0000 4.5513 0.0000
0.0000 0.0000 4.5513
Tm Co Nb
1 2 1
Direct
0.5000 0.5000 0.5000
0.0000 0.5000 0.0000
0.0000 0.0000 0.5000
0.5000 0.0000 0.0000
```

4.
A plane-wave DFT calculation with PBE was carried out for TmNb2Co9 after structural relaxation.

## Properties
Space-group type: R-3m
Raw total energy, eV/atom: -7.53
DOS(E_F), states/eV/f.u.: 18.04

```
TmNb2Co9
1.0
-2.2131 0.0818 4.2632
2.5089 -0.7694 4.0240
1.5087 7.4284 3.3474
Co Nb Tm
9 2 1
Direct
0.3354 0.3354 0.9938
0.0793 0.5888 0.7430
0.5888 0.0793 0.7430
0.4112 0.9207 0.2570
0.4112 0.4112 0.2570
0.5000 0.5000 0.5000
0.6646 0.6646 0.0062
0.5888 0.5888 0.7430
0.9207 0.4112 0.2570
0.1400 0.1400 0.5799
0.8600 0.8600 0.4201
0.0000 0.0000 0.0000
```

5.
A plane-wave DFT calculation with PBE was carried out for U2NbCo9 after structural relaxation.

## Properties
Space-group type: P4/mmm
Raw total energy, eV/atom: -8.28
DOS(E_F), states/eV/f.u.: 7.26

```
U2NbCo9
1.0
3.7215 0.0000 0.0000
0.0000 3.7215 0.0000
0.0000 0.0000 11.1035
Nb Co U
1 9 2
Direct
0.0000 0.0000 0.0000
0.5000 0.5000 0.0000
0.5000 0.0000 0.5000
0.0000 0.5000 0.8363
0.0000 0.5000 0.1637
0.5000 0.5000 0.3313
0.5000 0.0000 0.1637
0.0000 0.5000 0.5000
0.5000 0.0000 0.8363
0.5000 0.5000 0.6687
0.0000 0.0000 0.6709
0.0000 0.0000 0.3291
```

6.
A plane-wave DFT calculation with PBE was carried out for UNbCo14 after structural relaxation.

## Properties
Space-group type: P4/mmm
Raw total energy, eV/atom: -7.61
DOS(E_F), states/eV/f.u.: 15.12

```
UNbCo14
1.0
-4.1563 -2.8518 -1.1148
-0.0264 -1.8456 4.8211
-4.2194 5.3568 2.0276
Co Nb U
14 1 1
Direct
0.6253 0.1247 0.7672
0.1247 0.6253 0.2328
0.6253 0.6253 0.2328
0.8750 0.3750 0.5000
0.3750 0.8750 0.0000
0.6253 0.1247 0.2328
0.1247 0.6253 0.7672
0.3750 0.3750 0.0000
0.8750 0.3750 0.0000
0.1247 0.1247 0.7671
0.6253 0.6253 0.7672
0.3750 0.8750 0.5000
0.8750 0.8750 0.0000
0.1247 0.1247 0.2329
0.8750 0.8750 0.5000
0.3750 0.3750 0.5000
```

7.
A plane-wave DFT calculation with PBE was carried out for UNbCo2 after structural relaxation.

## Properties
Space-group type: R-3m
Raw total energy, eV/atom: -8.56
DOS(E_F), states/eV/f.u.: 5.72

```
UNbCo2
1.0
-0.5744 1.7816 2.2724
-2.7649 0.3152 0.9612
0.0169 -5.8015 6.4600
Nb U Co
1 1 2
Direct
0.5000 0.5000 0.5000
0.0000 0.0000 0.0000
0.0869 0.0869 0.7393
0.9131 0.9131 0.2607
```

8.
A plane-wave DFT calculation with PBE was carried out for UNbCo6 after structural relaxation.

## Properties
Space-group type: Cmmm
Raw total energy, eV/atom: -8.22
DOS(E_F), states/eV/f.u.: 5.99

```
UNbCo6
1.0
-3.3993 3.2933 -4.3136
-3.9052 -3.8472 3.3100
-1.5404 7.6003 7.0166
Nb Co U
4 24 4
Direct
0.7473 0.2527 0.2500
0.5000 0.5000 0.0035
0.2527 0.7473 0.2500
0.5000 0.5000 0.4965
0.5000 0.5000 0.7500
0.7500 0.2500 0.0016
0.0000 0.0000 0.2500
0.0000 0.0000 0.7500
0.8748 0.6245 0.3737
0.3755 0.1252 0.3737
0.6245 0.8748 0.3737
0.6248 0.8749 0.8762
0.3755 0.1252 0.1263
0.2500 0.7500 0.0016
0.2500 0.7500 0.4984
0.8749 0.6248 0.6238
0.6248 0.8749 0.6238
0.8748 0.6245 0.1263
0.8749 0.6248 0.8762
0.1251 0.3752 0.6238
0.3752 0.1251 0.8762
0.1252 0.3755 0.3737
0.6245 0.8748 0.1263
0.3752 0.1251 0.6238
0.5000 0.5000 0.2500
0.1251 0.3752 0.8762
0.7500 0.2500 0.4984
0.1252 0.3755 0.1263
0.0000 0.0000 0.0060
0.2531 0.7469 0.7500
0.0000 0.0000 0.4940
0.7469 0.2531 0.7500
```

9.
A plane-wave DFT calculation with PBE was carried out for NbVCo6 after structural relaxation.

## Properties
Space-group type: Cmmm
Raw total energy, eV/atom: -7.88
Distance to the lowest polymorph of the same formula, meV/atom: 3.7
DOS(E_F), states/eV/f.u.: 8.09

```
NbVCo6
1.0
6.2009 0.0041 0.0000
-2.0766 5.8429 0.0000
0.0000 0.0000 10.1375
Nb Co V
4 24 4
Direct
0.5000 0.5000 0.2516
0.2532 0.7468 0.0000
0.5000 0.5000 0.7484
0.7468 0.2532 0.0000
0.6335 0.8799 0.8708
0.8799 0.6335 0.8708
0.6335 0.8799 0.1292
0.0000 0.0000 0.0000
0.8799 0.6335 0.1292
0.8825 0.6288 0.3788
0.2463 0.7537 0.2568
0.2463 0.7537 0.7432
0.1175 0.3712 0.6212
0.1175 0.3712 0.3788
0.1201 0.3665 0.8708
0.7537 0.2463 0.2568
0.7537 0.2463 0.7432
0.6288 0.8825 0.6212
0.0000 0.0000 0.5000
0.8825 0.6288 0.6212
0.3665 0.1201 0.8708
0.3665 0.1201 0.1292
0.1201 0.3665 0.1292
0.3712 0.1175 0.3788
0.3712 0.1175 0.6212
0.6288 0.8825 0.3788
0.5000 0.5000 0.0000
0.5000 0.5000 0.5000
0.0000 0.0000 0.7484
0.2532 0.7468 0.5000
0.7468 0.2532 0.5000
0.0000 0.0000 0.2516
```

10.
A plane-wave DFT calculation with PBE was carried out for NbVCo2 after structural relaxation.

## Properties
Space-group type: Fm-3m
Raw total energy, eV/atom: -8.39
Distance to the lowest polymorph of the same formula, meV/atom: 97.6
DOS(E_F), states/eV/f.u.: 2.73

```
NbVCo2
1.0
-0.1808 -3.1984 2.7835
3.5614 -1.4644 1.7839
0.7648 0.7197 4.1118
Nb V Co
1 1 2
Direct
0.5000 0.5000 0.5000
0.0000 0.0000 0.0000
0.7500 0.7500 0.7500
0.2500 0.2500 0.2500
```

11.
A plane-wave DFT calculation with PBE was carried out for Nb3V4Co2 after structural relaxation.

## Properties
Space-group type: P-3m1
Raw total energy, eV/atom: -8.98
DOS(E_F), states/eV/f.u.: 13.95

```
Nb3V4Co2
1.0
-0.9581 0.2770 4.1833
1.4589 -3.7016 -1.6313
7.5565 2.2842 1.5794
V Nb Co
4 3 2
Direct
0.9999 0.9998 0.6449
0.0001 0.0002 0.3551
0.3333 0.6666 0.8815
0.6667 0.3334 0.1185
0.3334 0.6669 0.2406
0.6666 0.3331 0.7594
0.0000 0.0000 0.0000
0.3332 0.6664 0.5669
0.6668 0.3336 0.4331
```

12.
A plane-wave DFT calculation with PBE was carried out for NbV2Co after structural relaxation.

## Properties
Space-group type: P4/mmm
Raw total energy, eV/atom: -8.86
Distance to the lowest polymorph of the same formula, meV/atom: 10.3
DOS(E_F), states/eV/f.u.: 3.64

```
NbV2Co
1.0
-0.0845 0.2355 3.0663
-2.7785 -3.2183 0.1706
3.2207 -2.7646 0.3011
Nb Co V
1 1 2
Direct
0.5000 0.5000 0.5000
0.5000 0.0000 0.0000
0.0000 0.0000 0.5000
0.0000 0.5000 0.0000
```

13.
A plane-wave DFT calculation with PBE was carried out for NbV2Co after structural relaxation.

## Properties
Space-group type: Fm-3m
Raw total energy, eV/atom: -8.87
Distance to the lowest polymorph of the same formula, meV/atom: 0.0
DOS(E_F), states/eV/f.u.: 3.46

```
NbV2Co
1.0
4.2657 0.0000 0.0000
2.1328 3.6942 0.0000
2.1328 1.2314 3.4829
V Co Nb
2 1 1
Direct
0.7500 0.7500 0.7500
0.2500 0.2500 0.2500
0.0000 0.0000 0.0000
0.5000 0.5000 0.5000
```

14.
A plane-wave DFT calculation with PBE was carried out for Nb2VCo after structural relaxation.

## Properties
Space-group type: P4/mmm
Raw total energy, eV/atom: -9.14
Distance to the lowest polymorph of the same formula, meV/atom: 0.0
DOS(E_F), states/eV/f.u.: 4.39

```
Nb2VCo
1.0
3.1396 0.0000 0.0000
0.0000 3.1396 0.0000
0.0000 0.0000 6.1294
Nb Co V
2 1 1
Direct
0.0000 0.0000 0.2473
0.0000 0.0000 0.7527
0.5000 0.5000 0.0000
0.5000 0.5000 0.5000
```

15.
A plane-wave DFT calculation with PBE was carried out for NbV2Co after structural relaxation.

## Properties
Space-group type: Cmcm
Raw total energy, eV/atom: -8.80
Distance to the lowest polymorph of the same formula, meV/atom: 64.2
DOS(E_F), states/eV/f.u.: 5.15

```
NbV2Co
1.0
-1.2465 2.4147 0.8159
-2.5443 -2.1763 2.5539
6.9260 -0.3285 6.6200
Co V Nb
2 4 2
Direct
0.8488 0.7500 0.6976
0.1512 0.2500 0.3024
0.7494 0.2500 0.4989
0.9796 0.7500 0.9592
0.0204 0.2500 0.0408
0.2506 0.7500 0.5011
0.6159 0.7500 0.2319
0.3841 0.2500 0.7681
```

16.
A plane-wave DFT calculation with PBE was carried out for NbV2Co9 after structural relaxation.

## Properties
Space-group type: P4/mmm
Raw total energy, eV/atom: -7.84
DOS(E_F), states/eV/f.u.: 12.07

```
NbV2Co9
1.0
-2.1008 -1.5555 2.4180
-2.1453 -1.1457 -2.6009
5.7317 -8.9568 -0.7821
Co V Nb
9 2 1
Direct
0.5000 0.5000 0.0000
0.0000 0.5000 0.5000
0.5000 0.5000 0.6628
0.0000 0.5000 0.1767
0.5000 0.0000 0.5000
0.5000 0.5000 0.3372
0.0000 0.5000 0.8233
0.5000 0.0000 0.1767
0.5000 0.0000 0.8233
0.0000 0.0000 0.3369
0.0000 0.0000 0.6631
0.0000 0.0000 0.0000
```

17.
A plane-wave DFT calculation with PBE was carried out for Nb4V2Co after structural relaxation.

## Properties
Space-group type: I4/mmm
Raw total energy, eV/atom: -8.51
DOS(E_F), states/eV/f.u.: 10.68

```
Nb4V2Co
1.0
-1.5844 3.5133 2.4304
0.8949 -2.2617 3.8529
5.3792 3.1158 3.2738
Nb V Co
4 2 1
Direct
0.0000 0.5000 0.0000
0.1943 0.1943 0.6114
0.5000 0.0000 0.0000
0.8057 0.8057 0.3886
0.6191 0.6191 0.7619
0.3809 0.3809 0.2381
0.0000 0.0000 0.0000
```

18.
A plane-wave DFT calculation with PBE was carried out for Nb3V2Co7 after structural relaxation.

## Properties
Space-group type: P2/m
Raw total energy, eV/atom: -8.08
DOS(E_F), states/eV/f.u.: 15.24

```
Nb3V2Co7
1.0
-3.7078 0.7655 -1.8881
1.1698 -0.3698 -2.4471
-2.5646 -13.8643 -0.5848
Co Nb V
7 3 2
Direct
0.5000 0.0774 0.8283
0.5000 0.9226 0.1717
0.0000 0.8687 0.2839
0.0000 0.1313 0.7161
0.0000 0.0000 0.0000
0.0000 0.7187 0.5647
0.0000 0.2813 0.4353
0.5000 0.5000 0.0000
0.5000 0.3458 0.3423
0.5000 0.6542 0.6577
0.0000 0.4307 0.1522
0.0000 0.5693 0.8478
```

19.
A plane-wave DFT calculation with PBE was carried out for NbV2Co5 after structural relaxation.

## Properties
Space-group type: Immm
Raw total energy, eV/atom: -7.94
DOS(E_F), states/eV/f.u.: 9.62

```
NbV2Co5
1.0
2.5917 0.0000 0.0000
1.2958 6.2107 -0.2833
1.2958 1.5984 6.0082
V Co Nb
2 5 1
Direct
0.2452 0.2548 0.2548
0.7548 0.7452 0.7452
0.3690 0.3997 0.8622
0.0000 0.5000 0.5000
0.6310 0.6003 0.1378
0.6310 0.1378 0.6003
0.3690 0.8622 0.3997
0.0000 0.0000 0.0000
```

20.
A plane-wave DFT calculation with PBE was carried out for NbVCo2 after structural relaxation.

## Properties
Space-group type: P4/mmm
Raw total energy, eV/atom: -8.43
Distance to the lowest polymorph of the same formula, meV/atom: 59.4
DOS(E_F), states/eV/f.u.: 4.69

```
NbVCo2
1.0
3.5883 0.0000 0.0000
0.0000 3.8070 0.0000
0.0000 0.0000 3.8070
V Nb Co
1 1 2
Direct
0.5000 0.5000 0.5000
0.5000 0.0000 0.0000
0.0000 0.0000 0.5000
0.0000 0.5000 0.0000
```

For reference, formation enthalpy at 0 K by record: 506; -88; -56; -154; -230; -59; 331; -220; -149; -39; 8; -2; -13; -50; 52; -156; 865; 104; 40; -77 meV/atom.